[1]
VASP calculation (PBEsol) on CuRuRh2 after structural relaxation.

Unit cell a=2.678 b=3.683 c=5.265 alpha=90.00 beta=90.00 gamma=90.00
Fractional coordinates of all 4 atoms:
Cu 0.000 0.000 0.000
Ru 0.000 0.000 0.500
Rh 0.500 0.500 0.249
Rh 0.500 0.500 0.751

Computed properties:
magnetic moment	0.00	μB/f.u.
density	11.845	g/cm3
DFT formation energy	0.07	eV/atom
energy relative to the lowest polymorph listed for this composition	12.9	kJ/mol of formula units

***

[2]
VASP calculation (PBEsol) on Cd3In5 after structural relaxation.

Unit cell a=8.922 b=8.922 c=5.661 alpha=90.00 beta=90.00 gamma=120.00
Fractional coordinates of all 16 atoms:
Cd 0.000 0.410 0.250
Cd 0.000 0.590 0.750
Cd 0.410 0.000 0.250
Cd 0.410 0.410 0.750
Cd 0.590 0.000 0.750
Cd 0.590 0.590 0.250
In 0.000 0.216 0.750
In 0.000 0.784 0.250
In 0.216 0.000 0.750
In 0.216 0.216 0.250
In 0.333 0.667 0.000
In 0.333 0.667 0.500
In 0.667 0.333 0.000
In 0.667 0.333 0.500
In 0.784 0.000 0.250
In 0.784 0.784 0.750

Computed properties:
magnetic moment	0.00	μB/f.u.
density	7.756	g/cm3
DFT formation energy	0.06	eV/atom
energy relative to the lowest polymorph listed for this composition	27.5	kJ/mol of formula units

***

[3]
VASP calculation (PBEsol) on GdNiC2 after structural relaxation.

Unit cell a=3.609 b=3.727 c=3.727 alpha=74.14 beta=90.00 gamma=90.00
Fractional coordinates of all 4 atoms:
Gd 0.000 0.000 0.000
Ni 0.500 0.611 0.611
C 0.500 0.148 0.453
C 0.500 0.453 0.148

Computed properties:
magnetic moment	7.10	μB/f.u.
density	8.262	g/cm3
DFT formation energy	-0.37	eV/atom

***

[4]
VASP calculation (PBEsol) on Bi2I2Br after structural relaxation.

Unit cell a=7.991 b=7.991 c=4.991 alpha=90.00 beta=90.00 gamma=90.00
Fractional coordinates of all 10 atoms:
Bi 0.138 0.362 0.000
Bi 0.362 0.862 0.000
Bi 0.638 0.138 0.000
Bi 0.862 0.638 0.000
I 0.172 0.672 0.500
I 0.328 0.172 0.500
I 0.672 0.828 0.500
I 0.828 0.328 0.500
Br 0.000 0.000 0.000
Br 0.500 0.500 0.000

Computed properties:
E	-29.80	eV for the cell shown
magnetic moment	0.00	μB/f.u.
density	7.832	g/cm3